Entry 1:
{"formula": "LiHfBe2Ir", "functional": "GGA-PBE", "state": "optimized geometry", "lattice_angstrom": [[-2.1698, -1.3750, 2.9624], [0.7831, -3.9558, -1.2625], [3.1841, -0.0993, 2.2861]], "species": ["Be", "Be", "Ir", "Hf", "Li"], "fractional_positions": [[0.0000, 0.0000, 0.5000], [0.5000, 0.0000, 0.0000], [0.0000, 0.5000, 0.0000], [0.5000, 0.5000, 0.5000], [0.0000, 0.0000, 0.0000]], "crystal_system": "tetragonal", "formation_energy_ev_per_atom": 0.235, "space_group": "No. 123"}

Entry 2:
{"formula": "NaLiSn", "functional": "GGA-PBE", "state": "optimized geometry", "lattice_angstrom": [[3.1111, 0.0000, 0.5071], [1.5357, 5.0625, 0.3754], [0.0905, 0.1590, 9.2409]], "species": ["Na", "Na", "Li", "Li", "Sn", "Sn"], "fractional_positions": [[0.2896, 0.8646, 0.5562], [0.4636, 0.3216, 0.7512], [0.9771, 0.8018, 0.2441], [0.7761, 0.3846, 0.0633], [0.6414, 0.3386, 0.3786], [0.1118, 0.8477, 0.9288]], "crystal_system": "monoclinic", "formation_energy_ev_per_atom": -0.168, "de_polymorph_mev_per_atom": 67, "space_group": "No. 12"}

Entry 3:
{"formula": "BaAc2Te4", "functional": "GGA-PBE", "state": "optimized geometry", "lattice_angstrom": [[4.8753, 0.0000, 0.0000], [0.0000, 13.5747, 0.0000], [0.0000, 0.0000, 17.2977]], "species": ["Ba", "Ba", "Ba", "Ba", "Ac", "Ac", "Ac", "Ac", "Ac", "Ac", "Ac", "Ac", "Te", "Te", "Te", "Te", "Te", "Te", "Te", "Te", "Te", "Te", "Te", "Te", "Te", "Te", "Te", "Te"], "fractional_positions": [[0.2500, 0.7343, 0.3400], [0.7500, 0.2657, 0.6600], [0.2500, 0.2343, 0.1600], [0.7500, 0.7657, 0.8400], [0.7500, 0.1074, 0.9004], [0.2500, 0.8926, 0.0996], [0.7500, 0.6074, 0.5996], [0.2500, 0.3926, 0.4004], [0.2500, 0.4396, 0.8935], [0.7500, 0.5604, 0.1065], [0.2500, 0.9396, 0.6065], [0.7500, 0.0604, 0.3935], [0.7500, 0.0629, 0.0889], [0.2500, 0.9371, 0.9111], [0.7500, 0.5629, 0.4111], [0.2500, 0.4371, 0.5889], [0.7500, 0.0078, 0.7185], [0.2500, 0.9922, 0.2815], [0.7500, 0.5078, 0.7815], [0.2500, 0.4922, 0.2185], [0.7500, 0.3421, 0.0104], [0.2500, 0.6579, 0.9896], [0.7500, 0.8421, 0.4896], [0.2500, 0.1579, 0.5104], [0.2500, 0.2276, 0.8070], [0.7500, 0.7724, 0.1930], [0.2500, 0.7276, 0.6930], [0.7500, 0.2724, 0.3070]], "crystal_system": "orthorhombic", "formation_energy_uncorrected_ev_per_fu": -11.54, "de_polymorph_mev_per_atom": 0, "space_group": "No. 62"}

Entry 4:
{"formula": "Sr3Cr", "functional": "GGA-PBE", "state": "optimized geometry", "lattice_angstrom": [[6.7592, 0.0647, 0.0000], [2.2216, 6.3840, 0.0000], [-4.4904, -3.2244, 3.8899]], "species": ["Sr", "Sr", "Sr", "Cr"], "fractional_positions": [[0.7500, 0.2500, 0.5000], [0.2500, 0.7500, 0.5000], [0.5000, 0.5000, 0.0000], [0.0000, 0.0000, 0.0000]], "crystal_system": "tetragonal", "formation_energy_ev_per_atom": 0.489, "space_group": "No. 139"}